No. 1
A relaxed YTlBr2 crystal, computed with GGA-PBE.

## Properties
* final energy: -16.32 eV/cell
* offset from the most stable computed form: 0.0619 eV per atom
* ΔE_f (raw): -400 kJ/mol of formula units

abc: 3.5073 3.5075 10.4754
angles: 90.00 90.00 90.00
Fractional coordinates of all 4 atoms:
Y1 0.5000 0.5000 0.7500
Tl1 0.5000 0.5000 0.2500
Br1 0.0000 0.0000 0.9144
Br2 0.0000 0.0000 0.5856


No. 2
A relaxed YTlBr2 crystal, computed with GGA-PBE.

## Properties
* final energy: -15.95 eV/cell
* offset from the most stable computed form: 0.1546 eV per atom
* ΔE_f (raw): -364 kJ/mol of formula units

abc: 5.4455 4.0674 5.7525
angles: 69.29 90.00 90.00
Fractional coordinates of all 4 atoms:
Y1 0.5000 0.9280 0.7691
Tl1 0.0000 0.5296 0.5657
Br1 0.0000 0.8226 0.9799
Br2 0.5000 0.2199 0.1853


No. 3
A relaxed YTlBr2 crystal, computed with GGA-PBE.

## Properties
* final energy: -14.96 eV/cell
* offset from the most stable computed form: 0.4020 eV per atom
* ΔE_f (raw): -268 kJ/mol of formula units

abc: 5.6666 5.6666 3.6639
angles: 90.00 90.00 104.77
Fractional coordinates of all 4 atoms:
Y1 0.0000 0.5000 0.5000
Tl1 0.5000 0.0000 0.5000
Br1 0.0000 0.0000 0.0000
Br2 0.5000 0.5000 0.0000


No. 4
A relaxed YTl2Br crystal, computed with GGA-PBE.

## Properties
* final energy: -14.92 eV/cell
* offset from the most stable computed form: 0.0752 eV per atom
* ΔE_f (raw): -197 kJ/mol of formula units

abc: 3.6106 3.6106 10.5483
angles: 90.00 90.00 112.37
Fractional coordinates of all 4 atoms:
Y1 0.0000 0.0000 0.5049
Tl1 0.0000 0.0000 0.0247
Tl2 0.5000 0.5000 0.2723
Br1 0.5000 0.5000 0.6981


No. 5
A relaxed YTl2Br crystal, computed with GGA-PBE.

## Properties
* final energy: -14.26 eV/cell
* offset from the most stable computed form: 0.2382 eV per atom
* ΔE_f (raw): -135 kJ/mol of formula units

abc: 6.5137 6.5137 6.5137
angles: 140.45 140.45 57.18
Fractional coordinates of all 4 atoms:
Y1 0.2500 0.7500 0.5000
Tl1 0.0000 0.0000 0.0000
Tl2 0.5000 0.5000 0.0000
Br1 0.7500 0.2500 0.5000


No. 6
A relaxed Y2TlBr crystal, computed with GGA-PBE.

## Properties
* final energy: -19.50 eV/cell
* offset from the most stable computed form: 0.0581 eV per atom
* ΔE_f (raw): -244 kJ/mol of formula units

abc: 9.6037 9.6037 9.6037
angles: 22.20 22.20 22.20
Fractional coordinates of all 4 atoms:
Y1 0.9973 0.9973 0.9973
Y2 0.5027 0.5027 0.5027
Tl1 0.7500 0.7500 0.7500
Br1 0.2500 0.2500 0.2500


No. 7
A relaxed YTl2Br crystal, computed with GGA-PBE.

## Properties
* final energy: -14.36 eV/cell
* offset from the most stable computed form: 0.2150 eV per atom
* ΔE_f (raw): -144 kJ/mol of formula units

abc: 3.7314 5.5605 5.5605
angles: 90.00 90.00 90.00
Fractional coordinates of all 4 atoms:
Y1 0.5000 0.5000 0.0000
Tl1 0.0000 0.0000 0.0000
Tl2 0.0000 0.5000 0.5000
Br1 0.5000 0.0000 0.5000


No. 8
A relaxed YTl2Br crystal, computed with GGA-PBE.

## Properties
* final energy: -14.87 eV/cell
* offset from the most stable computed form: 0.0858 eV per atom
* ΔE_f (raw): -193 kJ/mol of formula units

abc: 6.7273 6.7273 6.7273
angles: 149.29 129.40 60.36
Fractional coordinates of all 4 atoms:
Y1 0.5214 0.5214 0.0000
Tl1 0.9963 0.9963 0.0000
Tl2 0.2690 0.7690 0.5000
Br1 0.7133 0.2133 0.5000


No. 9
A relaxed YTl2Br crystal, computed with GGA-PBE.

## Properties
* final energy: -13.78 eV/cell
* offset from the most stable computed form: 0.3592 eV per atom
* ΔE_f (raw): -88 kJ/mol of formula units

abc: 10.0739 10.0739 10.0739
angles: 21.40 21.40 21.40
Fractional coordinates of all 4 atoms:
Y1 0.7500 0.7500 0.7500
Tl1 0.9971 0.9971 0.9971
Tl2 0.5029 0.5029 0.5029
Br1 0.2500 0.2500 0.2500


No. 10
A relaxed Y2TlBr2 crystal, computed with GGA-PBE.

## Properties
* final energy: -22.07 eV/cell
* offset from the most stable computed form: 0.4690 eV per atom
* ΔE_f (raw): -331 kJ/mol of formula units

abc: 5.5041 5.5041 6.1218
angles: 63.29 63.29 90.00
Fractional coordinates of all 5 atoms:
Y1 0.7500 0.2500 0.5000
Y2 0.2500 0.7500 0.5000
Tl1 0.0000 0.0000 0.0000
Br1 0.3352 0.3352 0.3295
Br2 0.6648 0.6648 0.6705


No. 11
A relaxed YTlBr2 crystal, computed with GGA-PBE.

## Properties
* final energy: -14.75 eV/cell
* offset from the most stable computed form: 0.4536 eV per atom
* ΔE_f (raw): -248 kJ/mol of formula units

abc: 5.4899 5.4899 3.7368
angles: 90.00 90.00 90.00
Site moments in Bohr magnetons follow the coordinates.
Fractional coordinates of all 4 atoms:
Y1 0.0000 0.5000 0.5000  0.34
Tl1 0.5000 0.0000 0.5000  0.07
Br1 0.0000 0.0000 0.0000  0.01
Br2 0.5000 0.5000 0.0000  0.01


No. 12
A relaxed Y2TlBr crystal, computed with GGA-PBE.

## Properties
* final energy: -19.67 eV/cell
* offset from the most stable computed form: 0.0159 eV per atom
* ΔE_f (raw): -261 kJ/mol of formula units

abc: 3.7000 3.7000 9.4980
angles: 78.77 78.77 60.00
Fractional coordinates of all 4 atoms:
Y1 0.0864 0.0864 0.7407
Y2 0.2473 0.2473 0.2580
Tl1 0.6670 0.6670 0.9991
Br1 0.4993 0.4993 0.5021


No. 13
A relaxed Y2TlBr crystal, computed with GGA-PBE.

## Properties
* final energy: -35.86 eV/cell
* offset from the most stable computed form: 0.4504 eV per atom
* ΔE_f (raw): -93 kJ/mol of formula units

abc: 6.0697 6.0697 8.9647
angles: 70.21 70.21 90.00
Fractional coordinates of all 8 atoms:
Y1 0.6175 0.1250 0.2500
Y2 0.1325 0.6250 0.2500
Y3 0.3750 0.3825 0.7500
Y4 0.8750 0.8675 0.7500
Tl1 0.0000 0.0000 0.0000
Tl2 0.7500 0.2500 0.5000
Br1 0.5000 0.5000 0.0000
Br2 0.2500 0.7500 0.5000


No. 14
A relaxed YTl2Br crystal, computed with GGA-PBE.

## Properties
* final energy: -13.63 eV/cell
* offset from the most stable computed form: 0.3971 eV per atom
* ΔE_f (raw): -73 kJ/mol of formula units

abc: 3.7291 3.7291 9.9894
angles: 90.00 90.00 118.31
Fractional coordinates of all 4 atoms:
Y1 0.5000 0.5000 0.2500
Tl1 0.0000 0.0000 0.9912
Tl2 0.0000 0.0000 0.5088
Br1 0.5000 0.5000 0.7500


No. 15
A relaxed Y2TlBr crystal, computed with GGA-PBE.

## Properties
* final energy: -19.28 eV/cell
* offset from the most stable computed form: 0.1119 eV per atom
* ΔE_f (raw): -223 kJ/mol of formula units

abc: 3.5689 3.5689 8.2858
angles: 90.00 90.00 90.00
Site moments in Bohr magnetons follow the coordinates.
Fractional coordinates of all 4 atoms:
Y1 0.0000 0.0000 0.9942  0.20
Y2 0.0000 0.0000 0.5058  0.20
Tl1 0.5000 0.5000 0.7500  0.00
Br1 0.5000 0.5000 0.2500  0.00


No. 16
A relaxed YTlBr2 crystal, computed with GGA-PBE.

## Properties
* final energy: -16.34 eV/cell
* offset from the most stable computed form: 0.0564 eV per atom
* ΔE_f (raw): -402 kJ/mol of formula units

abc: 7.6736 7.6736 7.6736
angles: 152.09 135.36 53.47
Fractional coordinates of all 4 atoms:
Y1 0.2500 0.7500 0.5000
Tl1 0.7500 0.2500 0.5000
Br1 0.0910 0.0910 0.0000
Br2 0.4090 0.4090 0.0000


No. 17
A relaxed Y2TlBr crystal, computed with GGA-PBE.

## Properties
* final energy: -18.54 eV/cell
* offset from the most stable computed form: 0.2981 eV per atom
* ΔE_f (raw): -152 kJ/mol of formula units

abc: 6.6480 6.6480 6.6480
angles: 141.53 141.53 55.53
Fractional coordinates of all 4 atoms:
Y1 0.0000 0.0000 0.0000
Y2 0.2500 0.7500 0.5000
Tl1 0.7500 0.2500 0.5000
Br1 0.5000 0.5000 0.0000


No. 18
A relaxed Y2TlBr crystal, computed with GGA-PBE.

## Properties
* final energy: -18.60 eV/cell
* offset from the most stable computed form: 0.2838 eV per atom
* ΔE_f (raw): -157 kJ/mol of formula units

abc: 3.6742 6.2510 5.1034
angles: 90.00 90.00 90.00
Fractional coordinates of all 4 atoms:
Y1 0.0000 0.0000 0.0000
Y2 0.5000 0.5000 0.0000
Tl1 0.0000 0.5000 0.5000
Br1 0.5000 0.0000 0.5000


No. 19
A relaxed YTl2Br crystal, computed with GGA-PBE.

## Properties
* final energy: -14.23 eV/cell
* offset from the most stable computed form: 0.2456 eV per atom
* ΔE_f (raw): -132 kJ/mol of formula units

abc: 5.7248 5.7248 5.7248
angles: 128.75 128.75 75.41
Fractional coordinates of all 4 atoms:
Y1 0.5000 0.5000 0.0000
Tl1 0.0000 0.0000 0.0000
Tl2 0.2500 0.7500 0.5000
Br1 0.7500 0.2500 0.5000


No. 20
A relaxed YTl2Br crystal, computed with GGA-PBE.

## Properties
* final energy: -15.22 eV/cell
* offset from the most stable computed form: 0.0000 eV per atom
* ΔE_f (raw): -227 kJ/mol of formula units

abc: 3.5256 3.5256 9.9484
angles: 90.00 90.00 90.00
Fractional coordinates of all 4 atoms:
Y1 0.0000 0.0000 0.5025
Tl1 0.0000 0.0000 0.0373
Tl2 0.5000 0.5000 0.2828
Br1 0.5000 0.5000 0.6775


No. 21
A relaxed Y2TlBr crystal, computed with GGA-PBE.

## Properties
* final energy: -19.28 eV/cell
* offset from the most stable computed form: 0.1131 eV per atom
* ΔE_f (raw): -223 kJ/mol of formula units

abc: 7.5913 7.5913 4.5839
angles: 72.44 72.44 27.68
Fractional coordinates of all 4 atoms:
Y1 0.0531 0.0531 0.9469
Y2 0.7844 0.7844 0.7156
Tl1 0.2048 0.2048 0.2953
Br1 0.4577 0.4577 0.5423


No. 22
A relaxed YTlBr2 crystal, computed with GGA-PBE.

## Properties
* final energy: -13.78 eV/cell
* offset from the most stable computed form: 0.6972 eV per atom
* ΔE_f (raw): -154 kJ/mol of formula units

abc: 5.4586 5.4586 5.4586
angles: 60.00 60.00 60.00
Site moments in Bohr magnetons follow the coordinates.
Fractional coordinates of all 4 atoms:
Y1 0.7500 0.7500 0.7500  0.52
Tl1 0.5000 0.5000 0.5000  0.19
Br1 0.0000 0.0000 0.0000  0.04
Br2 0.2500 0.2500 0.2500  0.05


No. 23
A relaxed YTlBr2 crystal, computed with GGA-PBE.

## Properties
* final energy: -30.25 eV/cell
* offset from the most stable computed form: 0.3601 eV per atom
* ΔE_f (raw): -284 kJ/mol of formula units

abc: 5.1477 5.1477 10.4827
angles: 75.79 75.79 90.00
Fractional coordinates of all 8 atoms:
Y1 0.5000 0.5000 0.0000
Y2 0.2500 0.7500 0.5000
Tl1 0.0000 0.0000 0.0000
Tl2 0.7500 0.2500 0.5000
Br1 0.5838 0.1250 0.2500
Br2 0.1662 0.6250 0.2500
Br3 0.3750 0.4162 0.7500
Br4 0.8750 0.8338 0.7500


No. 24
A relaxed YTlBr2 crystal, computed with GGA-PBE.

## Properties
* final energy: -15.83 eV/cell
* offset from the most stable computed form: 0.1845 eV per atom
* ΔE_f (raw): -352 kJ/mol of formula units

abc: 3.9797 4.0146 7.5667
angles: 90.00 90.00 90.00
Fractional coordinates of all 4 atoms:
Y1 0.5000 0.5000 0.8357
Tl1 0.0000 0.0000 0.5211
Br1 0.0000 0.0000 0.9381
Br2 0.5000 0.5000 0.2052


No. 25
A relaxed YTlBr2 crystal, computed with GGA-PBE.

## Properties
* final energy: -14.92 eV/cell
* offset from the most stable computed form: 0.4113 eV per atom
* ΔE_f (raw): -265 kJ/mol of formula units

abc: 5.3791 5.3791 5.3791
angles: 60.00 60.00 60.00
Site moments in Bohr magnetons follow the coordinates.
Fractional coordinates of all 4 atoms:
Y1 0.0000 0.0000 0.0000  0.56
Tl1 0.5000 0.5000 0.5000  0.09
Br1 0.2500 0.2500 0.2500  0.01
Br2 0.7500 0.7500 0.7500  0.01


No. 26
A relaxed Y2TlBr crystal, computed with GGA-PBE.

## Properties
* final energy: -19.13 eV/cell
* offset from the most stable computed form: 0.1502 eV per atom
* ΔE_f (raw): -209 kJ/mol of formula units

abc: 5.3515 5.3515 5.3515
angles: 60.00 60.00 60.00
Fractional coordinates of all 4 atoms:
Y1 0.2500 0.2500 0.2500
Y2 0.7500 0.7500 0.7500
Tl1 0.5000 0.5000 0.5000
Br1 0.0000 0.0000 0.0000


No. 27
A relaxed YTlBr2 crystal, computed with GGA-PBE.

## Properties
* final energy: -15.77 eV/cell
* offset from the most stable computed form: 0.1990 eV per atom
* ΔE_f (raw): -347 kJ/mol of formula units

abc: 4.7521 4.0012 6.5431
angles: 83.74 90.00 90.00
Fractional coordinates of all 4 atoms:
Y1 0.5000 0.7500 0.7500
Tl1 0.5000 0.2500 0.2500
Br1 0.0000 0.9097 0.9822
Br2 0.0000 0.5903 0.5178


No. 28
A relaxed YTlBr crystal, computed with GGA-PBE.

## Properties
* final energy: -11.17 eV/cell
* offset from the most stable computed form: 0.5228 eV per atom
* ΔE_f (raw): -65 kJ/mol of formula units

abc: 5.1486 5.1486 5.1486
angles: 60.00 60.00 60.00
Fractional coordinates of all 3 atoms:
Y1 0.7500 0.7500 0.7500
Tl1 0.5000 0.5000 0.5000
Br1 0.0000 0.0000 0.0000


No. 29
A relaxed Y2TlBr crystal, computed with GGA-PBE.

## Properties
* final energy: -19.09 eV/cell
* offset from the most stable computed form: 0.1611 eV per atom
* ΔE_f (raw): -204 kJ/mol of formula units

abc: 5.6637 5.6637 5.6637
angles: 135.13 113.11 84.19
Fractional coordinates of all 4 atoms:
Y1 0.9807 0.9807 0.0000
Y2 0.5193 0.5193 0.0000
Tl1 0.2500 0.7500 0.5000
Br1 0.7500 0.2500 0.5000


No. 30
A relaxed YTl2Br crystal, computed with GGA-PBE.

## Properties
* final energy: -13.15 eV/cell
* offset from the most stable computed form: 0.5164 eV per atom
* ΔE_f (raw): -27 kJ/mol of formula units

abc: 5.5460 5.5460 5.5460
angles: 60.00 60.00 60.00
Fractional coordinates of all 4 atoms:
Y1 0.5000 0.5000 0.5000
Tl1 0.2500 0.2500 0.2500
Tl2 0.7500 0.7500 0.7500
Br1 0.0000 0.0000 0.0000